Below is CsCoRu after structural relaxation, with properties calculated at the PBE level.

CIF file:
```
data_CsCoRu
_chemical_formula_sum 'Cs4 Co4 Ru4'
_space_group_name_H-M_alt 'P 1'
_space_group_IT_number 1
_cell_length_a 11.040
_cell_length_b 4.033
_cell_length_c 8.527
_cell_angle_alpha 90.00
_cell_angle_beta 90.00
_cell_angle_gamma 90.00
loop_
_space_group_symop_operation_xyz
'x,y,z'
loop_
_atom_site_label
_atom_site_type_symbol
_atom_site_fract_x
_atom_site_fract_y
_atom_site_fract_z
Cs1 Cs 0.802 0.250 0.493
Cs2 Cs 0.698 0.750 0.993
Cs3 Cs 0.198 0.750 0.507
Cs4 Cs 0.302 0.250 0.007
Ru1 Ru 0.451 0.250 0.375
Ru2 Ru 0.049 0.750 0.875
Ru3 Ru 0.549 0.750 0.625
Ru4 Ru 0.951 0.250 0.125
Co1 Co 0.960 0.250 0.861
Co2 Co 0.540 0.750 0.361
Co3 Co 0.040 0.750 0.139
Co4 Co 0.460 0.250 0.639
```

Calculated values
density of states at the Fermi level	0.97	states/eV per atom
V	31.64	Å³ per atom
energy above the most stable polymorph in this dataset	334.8	meV/atom
space-group type	No. 62
ΔE_f	3.07	eV per formula unit


Below is PrErPdRh after structural relaxation, with properties calculated at the PBE level.

CIF file:
```
data_PrErPdRh
_chemical_formula_sum 'Pr1 Er1 Pd1 Rh1'
_space_group_name_H-M_alt 'P 1'
_space_group_IT_number 1
_cell_length_a 3.776
_cell_length_b 4.497
_cell_length_c 5.679
_cell_angle_alpha 90.00
_cell_angle_beta 109.42
_cell_angle_gamma 90.00
loop_
_space_group_symop_operation_xyz
'x,y,z'
loop_
_atom_site_label
_atom_site_type_symbol
_atom_site_fract_x
_atom_site_fract_y
_atom_site_fract_z
Pr1 Pr 0.144 0.000 0.288
Er1 Er 0.865 0.500 0.731
Pd1 Pd 0.582 0.500 0.163
Rh1 Rh 0.409 0.000 0.818
```

Calculated values
density of states at the Fermi level	0.65	states/eV per atom
V	22.73	Å³ per atom
energy above the most stable polymorph in this dataset	0.0	meV/atom
space-group type	No. 38
ΔE_f	-3.21	eV per formula unit


Below is PmDyBi2 after structural relaxation, with properties calculated at the PBE level.

CIF file:
```
data_PmDyBi2
_chemical_formula_sum 'Pm1 Dy1 Bi2'
_space_group_name_H-M_alt 'P 1'
_space_group_IT_number 1
_cell_length_a 5.553
_cell_length_b 5.553
_cell_length_c 5.553
_cell_angle_alpha 60.00
_cell_angle_beta 60.00
_cell_angle_gamma 60.00
loop_
_space_group_symop_operation_xyz
'x,y,z'
loop_
_atom_site_label
_atom_site_type_symbol
_atom_site_fract_x
_atom_site_fract_y
_atom_site_fract_z
Pm1 Pm 0.500 0.500 0.500
Bi1 Bi 0.250 0.250 0.250
Bi2 Bi 0.750 0.750 0.750
Dy1 Dy 0.000 0.000 0.000
```

Calculated values
density of states at the Fermi level	0.74	states/eV per atom
V	30.26	Å³ per atom
energy above the most stable polymorph in this dataset	257.2	meV/atom
space-group type	No. 225
ΔE_f	-2.56	eV per formula unit


Below is ZrPa2ReC4 after structural relaxation, with properties calculated at the PBE level.

CIF file:
```
data_ZrPa2ReC4
_chemical_formula_sum 'Zr2 Pa4 Re2 C8'
_space_group_name_H-M_alt 'P 1'
_space_group_IT_number 1
_cell_length_a 3.424
_cell_length_b 6.029
_cell_length_c 11.992
_cell_angle_alpha 90.00
_cell_angle_beta 90.00
_cell_angle_gamma 106.50
loop_
_space_group_symop_operation_xyz
'x,y,z'
loop_
_atom_site_label
_atom_site_type_symbol
_atom_site_fract_x
_atom_site_fract_y
_atom_site_fract_z
Zr1 Zr 0.130 0.260 0.750
Zr2 Zr 0.870 0.740 0.250
Pa1 Pa 0.364 0.727 0.542
Pa2 Pa 0.636 0.273 0.042
Pa3 Pa 0.636 0.273 0.458
Pa4 Pa 0.364 0.727 0.958
Re1 Re 0.868 0.736 0.750
Re2 Re 0.132 0.264 0.250
C1 C 0.268 0.537 0.138
C2 C 0.732 0.463 0.638
C3 C 0.732 0.463 0.862
C4 C 0.268 0.537 0.362
C5 C 0.000 0.000 0.500
C6 C 0.000 0.000 0.000
C7 C 0.465 0.930 0.750
C8 C 0.535 0.070 0.250
```

Calculated values
density of states at the Fermi level	0.59	states/eV per atom
V	14.83	Å³ per atom
space-group type	No. 63
ΔE_f	-0.86	eV per formula unit


Below is LaTbY2Th after structural relaxation, with properties calculated at the PBE level.

CIF file:
```
data_LaTbY2Th
_chemical_formula_sum 'La2 Tb2 Y4 Th2'
_space_group_name_H-M_alt 'P 1'
_space_group_IT_number 1
_cell_length_a 5.689
_cell_length_b 8.797
_cell_length_c 7.082
_cell_angle_alpha 90.00
_cell_angle_beta 90.00
_cell_angle_gamma 90.00
loop_
_space_group_symop_operation_xyz
'x,y,z'
loop_
_atom_site_label
_atom_site_type_symbol
_atom_site_fract_x
_atom_site_fract_y
_atom_site_fract_z
La1 La 0.000 0.000 0.000
La2 La 0.000 0.000 0.500
Tb1 Tb 0.000 0.500 0.750
Tb2 Tb 0.000 0.500 0.250
Y1 Y 0.500 0.680 0.000
Y2 Y 0.500 0.320 0.500
Y3 Y 0.500 0.680 0.500
Y4 Y 0.500 0.320 0.000
Th1 Th 0.500 0.000 0.250
Th2 Th 0.500 0.000 0.750
```

Calculated values
density of states at the Fermi level	1.67	states/eV per atom
V	35.44	Å³ per atom
space-group type	No. 47
ΔE_f	1.43	eV per formula unit


Below is YHf3Sc after structural relaxation, with properties calculated at the PBE level.

CIF file:
```
data_YHf3Sc
_chemical_formula_sum 'Y1 Hf3 Sc1'
_space_group_name_H-M_alt 'P 1'
_space_group_IT_number 1
_cell_length_a 5.109
_cell_length_b 5.109
_cell_length_c 5.109
_cell_angle_alpha 90.00
_cell_angle_beta 90.00
_cell_angle_gamma 90.00
loop_
_space_group_symop_operation_xyz
'x,y,z'
loop_
_atom_site_label
_atom_site_type_symbol
_atom_site_fract_x
_atom_site_fract_y
_atom_site_fract_z
Y1 Y 0.500 0.500 0.500
Sc1 Sc 0.000 0.000 0.000
Hf1 Hf 0.000 0.500 0.000
Hf2 Hf 0.000 0.000 0.500
Hf3 Hf 0.500 0.000 0.000
```

Calculated values
density of states at the Fermi level	3.04	states/eV per atom
V	26.67	Å³ per atom
energy above the most stable polymorph in this dataset	0.0	meV/atom
space-group type	No. 221
ΔE_f	4.92	eV per formula unit